Record 1
# Ce2Tm2Th3 | the Alexandria database | PBE | optimized geometry
# DFT total energy in eV per atom: -6.109
# Size of the total moment in μB per formula unit: 0.0
data_Ce2Tm2Th3
_cell_length_a 15.298
_cell_length_b 3.515
_cell_length_c 8.559
_cell_angle_alpha 90.00
_cell_angle_beta 111.80
_cell_angle_gamma 90.00
_symmetry_space_group_name_H-M 'C 1 2/m 1'
_symmetry_Int_Tables_number 12
loop_
_symmetry_equiv_pos_as_xyz
'x,y,z'
'-x,-y,-z'
'-x,y,-z'
'x,-y,z'
'x+1/2,y+1/2,z'
'-x+1/2,-y+1/2,-z'
'-x+1/2,y+1/2,-z'
'x+1/2,-y+1/2,z'
loop_
_atom_site_label
_atom_site_type_symbol
_atom_site_fract_x
_atom_site_fract_y
_atom_site_fract_z
_atom_site_occupancy
Ce1 Ce 0.066 0.000 0.206 1
Tm1 Tm 0.213 0.000 0.646 1
Th1 Th 0.000 0.500 0.500 1
Th2 Th 0.143 0.500 0.930 1

---

Record 2
# CeTm6Th3 | the Alexandria database | PBE | optimized geometry
# DFT total energy in eV per atom: -5.143
# Size of the total moment in μB per formula unit: 0.0
data_CeTm6Th3
_cell_length_a 9.7487
_cell_length_b 9.7487
_cell_length_c 11.7117
_cell_angle_alpha 90.00
_cell_angle_beta 90.00
_cell_angle_gamma 120.00
_symmetry_space_group_name_H-M 'R 3'
_symmetry_Int_Tables_number 146
_symmetry_space_group_name_Hall 'R 3'
loop_
_atom_site_label
_atom_site_type_symbol
_atom_site_fract_x
_atom_site_fract_y
_atom_site_fract_z
_atom_site_occupancy
Ce1 Ce 0.0000 0.0000 0.0000 1
Tm1 Tm 0.0010 0.6658 0.5895 1
Tm2 Tm 0.0015 0.3342 0.7480 1
Th1 Th 0.0000 0.0000 0.2383 1
Th2 Th 0.0000 0.0000 0.4997 1
Th3 Th 0.0000 0.0000 0.7609 1

---

Record 3
# Ce2TmTh2 | the Alexandria database | PBE | optimized geometry
# DFT total energy in eV per atom: -6.209
# Size of the total moment in μB per formula unit: 0.0
data_Ce2TmTh2
_cell_length_a 3.4915
_cell_length_b 3.4915
_cell_length_c 42.3873
_cell_angle_alpha 90.00
_cell_angle_beta 90.00
_cell_angle_gamma 120.00
_symmetry_space_group_name_H-M 'R -3 m'
_symmetry_Int_Tables_number 166
_symmetry_space_group_name_Hall '-R 3 2"'
loop_
_atom_site_label
_atom_site_type_symbol
_atom_site_fract_x
_atom_site_fract_y
_atom_site_fract_z
_atom_site_occupancy
Ce1 Ce 0.0000 0.0000 0.1990 1
Tm1 Tm 0.0000 0.0000 0.0000 1
Th1 Th 0.0000 0.0000 0.4016 1

---

Record 4
# Ce12TmTh3 | the Alexandria database | PBE | optimized geometry
# DFT total energy in eV per atom: -6.089
# Size of the total moment in μB per formula unit: 0.0
data_Ce12TmTh3
_cell_length_a 4.804
_cell_length_b 4.804
_cell_length_c 19.327
_cell_angle_alpha 90.00
_cell_angle_beta 90.00
_cell_angle_gamma 90.00
_symmetry_space_group_name_H-M 'P 4/m m m'
_symmetry_Int_Tables_number 123
_symmetry_space_group_name_Hall '-P 4 2'
loop_
_atom_site_label
_atom_site_type_symbol
_atom_site_fract_x
_atom_site_fract_y
_atom_site_fract_z
_atom_site_occupancy
Ce1 Ce 0.000 0.000 0.000 1
Ce2 Ce 0.000 0.000 0.249 1
Ce3 Ce 0.000 0.000 0.500 1
Ce4 Ce 0.000 0.500 0.125 1
Ce5 Ce 0.000 0.500 0.374 1
Tm1 Tm 0.500 0.500 0.500 1
Th1 Th 0.500 0.500 0.000 1
Th2 Th 0.500 0.500 0.251 1

---

Record 5
# Ce3TmTh12 | the Alexandria database | PBE | optimized geometry
# DFT total energy in eV per atom: -6.935
# Size of the total moment in μB per formula unit: 0.0
data_Ce3TmTh12
_cell_length_a 4.983
_cell_length_b 4.983
_cell_length_c 20.030
_cell_angle_alpha 90.00
_cell_angle_beta 90.00
_cell_angle_gamma 90.00
_symmetry_space_group_name_H-M 'P 4/m m m'
_symmetry_Int_Tables_number 123
_symmetry_space_group_name_Hall '-P 4 2'
loop_
_atom_site_label
_atom_site_type_symbol
_atom_site_fract_x
_atom_site_fract_y
_atom_site_fract_z
_atom_site_occupancy
Ce1 Ce 0.000 0.000 0.000 1
Ce2 Ce 0.000 0.000 0.249 1
Tm1 Tm 0.000 0.000 0.500 1
Th1 Th 0.000 0.500 0.124 1
Th2 Th 0.000 0.500 0.373 1
Th3 Th 0.500 0.500 0.000 1
Th4 Th 0.500 0.500 0.247 1
Th5 Th 0.500 0.500 0.500 1

---

Record 6
# CeTm5Th2 | the Alexandria database | PBE | optimized geometry
# DFT total energy in eV per atom: -5.345
# Size of the total moment in μB per formula unit: 0.5
data_CeTm5Th2
_cell_length_a 6.998
_cell_length_b 13.999
_cell_length_c 4.995
_cell_angle_alpha 90.00
_cell_angle_beta 90.00
_cell_angle_gamma 90.00
_symmetry_space_group_name_H-M 'P b a m'
_symmetry_Int_Tables_number 55
loop_
_symmetry_equiv_pos_as_xyz
'x,y,z'
'-x,-y,-z'
'-x,-y,z'
'x,y,-z'
'x+1/2,-y+1/2,-z'
'-x+1/2,y+1/2,z'
'-x+1/2,y+1/2,-z'
'x+1/2,-y+1/2,z'
loop_
_atom_site_label
_atom_site_type_symbol
_atom_site_fract_x
_atom_site_fract_y
_atom_site_fract_z
_atom_site_occupancy
Ce1 Ce 0.000 0.000 0.000 1
Tm1 Tm 0.000 0.500 0.000 1
Tm2 Tm 0.007 0.249 0.000 1
Tm3 Tm 0.243 0.876 0.500 1
Th1 Th 0.250 0.123 0.500 1

---

Record 7
# Ce2TmTh | the Alexandria database | PBE | optimized geometry
# Excess energy over the best structure of this formula in the dataset in meV/atom: 30
# Size of the total moment in μB per formula unit: 0.3
data_Ce2TmTh
_cell_length_a 3.4657
_cell_length_b 3.4657
_cell_length_c 34.4685
_cell_angle_alpha 90.00
_cell_angle_beta 90.00
_cell_angle_gamma 120.00
_symmetry_space_group_name_H-M 'R 3 m'
_symmetry_Int_Tables_number 160
_symmetry_space_group_name_Hall 'R 3 -2"'
loop_
_atom_site_label
_atom_site_type_symbol
_atom_site_fract_x
_atom_site_fract_y
_atom_site_fract_z
_atom_site_occupancy
Ce1 Ce 0.0000 0.0000 0.0000 1
Ce2 Ce 0.0000 0.0000 0.1667 1
Tm1 Tm 0.0000 0.0000 0.5841 1
Th1 Th 0.0000 0.0000 0.4168 1

---

Record 8
# CeTm8Th2 | the Alexandria database | PBE | optimized geometry
# DFT total energy in eV per atom: -4.935
# Size of the total moment in μB per formula unit: 1.3
data_CeTm8Th2
_cell_length_a 18.930
_cell_length_b 6.876
_cell_length_c 5.506
_cell_angle_alpha 90.00
_cell_angle_beta 92.12
_cell_angle_gamma 90.00
_symmetry_space_group_name_H-M 'C 1 2/m 1'
_symmetry_Int_Tables_number 12
loop_
_symmetry_equiv_pos_as_xyz
'x,y,z'
'-x,-y,-z'
'-x,y,-z'
'x,-y,z'
'x+1/2,y+1/2,z'
'-x+1/2,-y+1/2,-z'
'-x+1/2,y+1/2,-z'
'x+1/2,-y+1/2,z'
loop_
_atom_site_label
_atom_site_type_symbol
_atom_site_fract_x
_atom_site_fract_y
_atom_site_fract_z
_atom_site_occupancy
Ce1 Ce 0.000 0.000 0.000 1
Tm1 Tm 0.047 0.500 0.239 1
Tm2 Tm 0.131 0.267 0.737 1
Tm3 Tm 0.182 0.000 0.234 1
Th1 Th 0.218 0.500 0.257 1